The following is a DFT calculation (PBE) of a relaxed structure of Ca3Mg4Hg4.

Lattice parameters (Å, degrees): 9.0714 9.0714 9.0714 151.45 125.93 62.28
Atoms (fractional coordinates):
Ca  0.0000  0.0000  0.0000
Ca  0.3805  0.8805  0.5000
Ca  0.6195  0.1195  0.5000
Mg  0.0167  0.3252  0.6915
Mg  0.3663  0.6748  0.6915
Mg  0.6337  0.3252  0.3085
Mg  0.9833  0.6748  0.3085
Hg  0.2270  0.2270  0.0000
Hg  0.3021  0.5000  0.8021
Hg  0.6979  0.5000  0.1979
Hg  0.7730  0.7730  0.0000

Values from the calculation:
ΔH_f (0 K): -0.3707 eV/atom
Total energy: -17.7 eV/cell
Total magnetic moment: 0.00 μB/cell

***

The following is a DFT calculation (PBE) of a relaxed structure of Ho4Te2SeS.

Lattice parameters (Å, degrees): 7.1959 4.0983 7.2979 90.00 108.86 90.00
Atoms (fractional coordinates):
Ho  0.2237  0.0000  0.2052
Ho  0.2493  0.5000  0.7911
Ho  0.7507  0.5000  0.2089
Ho  0.7763  0.0000  0.7948
Te  0.0000  0.0000  0.5000
Te  0.5000  0.5000  0.5000
Se  0.5000  0.0000  0.0000
S  0.0000  0.5000  0.0000

Values from the calculation:
E_form (uncorrected): -12.529 eV per formula unit
Total energy: -44.7 eV/cell
Total magnetic moment: 0.00 μB/cell

***

The following is a DFT calculation (PBE) of a relaxed structure of Cs2CoSiI6.

Lattice parameters (Å, degrees): 8.1243 8.1243 8.1243 119.90 119.90 90.17
Atoms (fractional coordinates):
Cs  0.2500  0.7500  0.5000
Cs  0.7500  0.2500  0.5000
Co  0.0000  0.0000  0.0000
Si  0.5000  0.5000  0.0000
I  0.2452  0.2452  0.0000
I  0.2456  0.2456  0.4912
I  0.2456  0.7544  0.0000
I  0.7544  0.2456  0.0000
I  0.7544  0.7544  0.5088
I  0.7548  0.7548  0.0000

Values from the calculation:
E_form (uncorrected): -5.887 eV per formula unit
Total energy: -29.4 eV/cell
Total magnetic moment: 2.38 μB/cell

***

The following is a DFT calculation (PBE) of a relaxed structure of CaSi5Pd7.

Lattice parameters (Å, degrees): 6.7100 6.7100 5.1778 112.65 112.65 82.24
Atoms (fractional coordinates):
Ca  0.0000  0.0000  0.0000
Si  0.0012  0.4826  0.5013
Si  0.0011  0.4826  0.9829
Si  0.4826  0.0012  0.5013
Si  0.4826  0.0011  0.9829
Si  0.7683  0.7683  0.2668
Pd  0.1750  0.7698  0.4732
Pd  0.2268  0.2268  0.7266
Pd  0.3388  0.3388  0.3383
Pd  0.3608  0.6809  0.0215
Pd  0.6687  0.6687  0.6684
Pd  0.6809  0.3608  0.0215
Pd  0.7698  0.1750  0.4732

Values from the calculation:
E_form (uncorrected): -7.104 eV per formula unit
Total energy: -72.6 eV/cell
Total magnetic moment: 0.00 μB/cell

***

The following is a DFT calculation (PBE) of a relaxed structure of ScNb2Si4.

Lattice parameters (Å, degrees): 4.7459 4.7459 13.0416 90.00 90.00 90.00
Atoms (fractional coordinates):
Sc  0.0000  0.0000  0.0000
Sc  0.5000  0.5000  0.5000
Nb  0.0000  0.0000  0.3992
Nb  0.0000  0.0000  0.6008
Nb  0.5000  0.5000  0.1008
Nb  0.5000  0.5000  0.8992
Si  0.0000  0.0000  0.2006
Si  0.0000  0.0000  0.7994
Si  0.0000  0.5000  0.0000
Si  0.0000  0.5000  0.5000
Si  0.5000  0.0000  0.0000
Si  0.5000  0.0000  0.5000
Si  0.5000  0.5000  0.2994
Si  0.5000  0.5000  0.7006

Values from the calculation:
E_form (uncorrected): 3.953 eV per formula unit
Total energy: -88.4 eV/cell
Total magnetic moment: 0.00 μB/cell

***

The following is a DFT calculation (PBE) of a relaxed structure of PrAg2Cl5.

Lattice parameters (Å, degrees): 7.6263 7.6263 10.2227 110.41 110.41 58.05
Atoms (fractional coordinates):
Pr  0.0000  0.0000  0.0000
Pr  0.0000  0.0000  0.5000
Ag  0.3093  0.4382  0.8088
Ag  0.4382  0.3093  0.3088
Ag  0.5611  0.6905  0.6921
Ag  0.6905  0.5611  0.1921
Cl  0.0858  0.3366  0.1444
Cl  0.1524  0.8477  0.2501
Cl  0.2514  0.5917  0.5529
Cl  0.3366  0.0858  0.6444
Cl  0.4085  0.7481  0.9475
Cl  0.5917  0.2514  0.0529
Cl  0.6635  0.9139  0.3558
Cl  0.7481  0.4085  0.4475
Cl  0.8477  0.1524  0.7501
Cl  0.9139  0.6635  0.8558

Values from the calculation:
E_form (uncorrected): -10.624 eV per formula unit
Total energy: -60.7 eV/cell
Total magnetic moment: 0.00 μB/cell